The following is a DFT calculation (PBE-GGA) of a relaxed structure of Ti2MnAlH.

The total energy is -6.7294 eV per atom. The magnetic moment is 0.0 Bohr magnetons per cell.

The structure in POSCAR format:
```
Ti2MnAlH
1.0
4.1796 0.0000 0.0000
0.0000 4.1796 0.0000
0.0000 0.0000 3.4552
Ti Mn Al H
2 1 1 1
Direct
0.0000 0.5000 0.0000
0.5000 0.0000 0.0000
0.0000 0.0000 0.5000
0.5000 0.5000 0.5000
0.0000 0.0000 0.0000
```

***

The following is a DFT calculation (PBE-GGA) of a relaxed structure of TiMnAl2H.

The total energy is -5.7160 eV per atom. The magnetic moment is 2.5 Bohr magnetons per cell.

The structure in POSCAR format:
```
TiMnAl2H
1.0
4.0496 0.0000 0.0000
0.0000 4.0496 0.0000
0.0000 0.0000 3.7658
Ti Mn Al H
1 1 2 1
Direct
0.0000 0.0000 0.0000
0.5000 0.5000 0.0000
0.0000 0.5000 0.5000
0.5000 0.0000 0.5000
0.5000 0.5000 0.5000
```